# PaGaSnO6 (PBE, optimized geometry)
# * formation energy (no corrections): -2.4119 eV per atom
# * total DFT energy (no corrections): -135.96 eV for the cell shown
data_PaGaSnO6
_chemical_formula_sum 'Pa2 Ga2 Sn2 O12'
_cell_length_a 5.2320
_cell_length_b 5.2320
_cell_length_c 9.6692
_cell_angle_alpha 90.00
_cell_angle_beta 90.00
_cell_angle_gamma 120.00
_symmetry_space_group_name_H-M 'P -3 1 c'
_symmetry_Int_Tables_number 163
_symmetry_space_group_name_Hall '-P 3 2c'
loop_
_atom_site_label
_atom_site_fract_x
_atom_site_fract_y
_atom_site_fract_z
Pa1 0.0000 0.0000 0.0000
Ga1 0.3333 0.6667 0.2500
Sn1 0.3333 0.6667 0.7500
O1 0.0101 0.3482 0.1337